GeC2SeCl, single point on PBEsol structure, DFT meta-GGA SCAN; DOS(E_F) = 0.403 states/eV per atom; ΔE_f (raw) = 2.069 eV per atom
1.0
3.8554 0.0000 0.0000
0.0000 3.8554 0.0000
0.0000 0.0000 5.6201
Ge C Se Cl
1 2 1 1
direct
0.0000 0.0000 0.0000
0.0000 0.5000 0.5000
0.5000 0.0000 0.5000
0.0000 0.0000 0.5000
0.5000 0.5000 0.0000